PrCoP2O8: relaxed, PBE with a Hubbard U.

abc: 5.146 5.146 6.717
angles: 90.00 90.00 120.00
Fractional positions:
Pr: 0.000 0.000 0.000
Co: 0.000 0.000 0.500
P: 0.333 0.667 0.237
P: 0.667 0.333 0.763
O: 0.168 0.336 0.307
O: 0.168 0.832 0.307
O: 0.333 0.667 0.008
O: 0.336 0.168 0.693
O: 0.664 0.832 0.307
O: 0.667 0.333 0.992
O: 0.832 0.168 0.693
O: 0.832 0.664 0.693

Results
E_tot (eV/atom): -7.29
Symmetry: P-3m1